1.
Entry from Alexandria via LeMat-Bulk: a geometry-optimized Pt2AuSe structure (PBE).

calculated density = 15.910 Mg/m³
crystal system = monoclinic
DOS at the Fermi energy = 3.01 states/eV/f.u.
raw total energy = -4.557 eV/atom

a b c (Å): 5.666 5.666 4.788
angles (deg): 114.45 114.45 30.04
Positions (direct):
Pt (0.000, 0.000, 0.000)
Pt (0.743, 0.743, 0.240)
Au (0.507, 0.507, 0.507)
Se (0.285, 0.285, 0.788)

***

2.
Entry from Alexandria via LeMat-Bulk: a geometry-optimized LiPm2Pr3S6 structure (PBE).

calculated density = 5.406 Mg/m³
crystal system = monoclinic
DOS at the Fermi energy = 4.87 states/eV/f.u.
raw total energy = -6.166 eV/atom

a b c (Å): 6.998 6.998 7.022
angles (deg): 99.60 99.60 120.19
Positions (direct):
Li (0.000, 0.000, 0.000)
Pm (0.334, 0.666, 0.000)
Pm (0.666, 0.334, 0.000)
Pr (0.166, 0.834, 0.500)
Pr (0.500, 0.500, 0.500)
Pr (0.834, 0.166, 0.500)
S (0.079, 0.404, 0.239)
S (0.244, 0.244, 0.763)
S (0.404, 0.079, 0.239)
S (0.596, 0.921, 0.761)
S (0.756, 0.756, 0.237)
S (0.921, 0.596, 0.761)

***

3.
Entry from Alexandria via LeMat-Bulk: a geometry-optimized Dy3Tl3SbS8 structure (PBE).

calculated density = 5.853 Mg/m³
crystal system = trigonal
DOS at the Fermi energy = 2.56 states/eV/f.u.
raw total energy = -5.080 eV/atom

a b c (Å): 8.902 8.902 8.902
angles (deg): 53.22 53.22 53.22
Positions (direct):
Dy (0.000, 0.500, 0.500)
Dy (0.500, 0.000, 0.500)
Dy (0.500, 0.500, 0.000)
Tl (0.000, 0.000, 0.500)
Tl (0.000, 0.500, 0.000)
Tl (0.500, 0.000, 0.000)
Sb (0.000, 0.000, 0.000)
S (0.225, 0.225, 0.741)
S (0.225, 0.741, 0.225)
S (0.259, 0.775, 0.775)
S (0.268, 0.268, 0.268)
S (0.732, 0.732, 0.732)
S (0.741, 0.225, 0.225)
S (0.775, 0.259, 0.775)
S (0.775, 0.775, 0.259)

***

4.
Entry from Alexandria via LeMat-Bulk: a geometry-optimized YGaGe4 structure (PBE).

formation enthalpy at 0 K = -0.15 eV per atom
calculated density = 6.107 Mg/m³
crystal system = cubic
DOS at the Fermi energy = 3.63 states/eV/f.u.

a b c (Å): 5.569 5.569 5.569
angles (deg): 60.00 60.00 60.00
Positions (direct):
Y (0.000, 0.000, 0.000)
Ga (0.750, 0.750, 0.750)
Ge (0.375, 0.375, 0.375)
Ge (0.375, 0.375, 0.874)
Ge (0.375, 0.874, 0.375)
Ge (0.874, 0.375, 0.375)